Below is Nd2SmGe3Rh4 after structural relaxation, with properties calculated at the PBE level. Values from VASP.

Quantum ESPRESSO input file:
```
&SYSTEM
  ibrav = 0, nat = 10, ntyp = 4
/
ATOMIC_SPECIES
Nd 144.24 Nd.upf
Sm 150.36 Sm.upf
Ge 72.64 Ge.upf
Rh 102.91 Rh.upf
ATOMIC_POSITIONS crystal
Nd 0.000 0.500 0.227
Nd 0.500 0.000 0.773
Sm 0.000 0.000 0.500
Ge 0.000 0.500 0.880
Ge 0.500 0.000 0.120
Ge 0.500 0.500 0.500
Rh 0.000 0.000 0.000
Rh 0.000 0.500 0.661
Rh 0.500 0.000 0.339
Rh 0.500 0.500 0.000
CELL_PARAMETERS angstrom
4.217 0.000 0.000
0.000 4.217 0.000
0.000 0.000 11.252
```

Below is GeMoIr after structural relaxation, with properties calculated at the PBE level. Values from VASP.

Quantum ESPRESSO input file:
```
&SYSTEM
  ibrav = 0, nat = 12, ntyp = 3
/
ATOMIC_SPECIES
Ge 72.64 Ge.upf
Mo 95.94 Mo.upf
Ir 192.22 Ir.upf
ATOMIC_POSITIONS crystal
Ge 0.000 0.000 0.000
Ge 0.000 0.500 0.500
Ge 0.500 0.000 0.500
Ge 0.500 0.500 0.000
Mo 0.000 0.000 0.500
Mo 0.000 0.500 0.000
Mo 0.500 0.000 0.000
Mo 0.500 0.500 0.500
Ir 0.250 0.250 0.750
Ir 0.250 0.750 0.250
Ir 0.750 0.250 0.250
Ir 0.750 0.750 0.750
CELL_PARAMETERS angstrom
5.946 0.000 0.000
0.000 5.946 0.000
0.000 0.000 5.946
```

**Distance to the lowest polymorph of the same formula**: 37 meV per atom

Below is CdNiBr2 after structural relaxation, with properties calculated at the PBE level. Values from VASP.

Quantum ESPRESSO input file:
```
&SYSTEM
  ibrav = 0, nat = 4, ntyp = 3
/
ATOMIC_SPECIES
Cd 112.41 Cd.upf
Ni 58.69 Ni.upf
Br 79.90 Br.upf
ATOMIC_POSITIONS crystal
Cd 0.000 0.000 0.000
Ni 0.500 0.000 0.500
Br 0.434 0.500 0.685
Br 0.566 0.500 0.315
CELL_PARAMETERS angstrom
4.052 0.000 0.000
0.000 3.357 0.000
-0.267 0.000 8.592
```

**Distance to the lowest polymorph of the same formula**: 152 meV per atom

Below is AlZn2PbCl after structural relaxation, with properties calculated at the PBE level. Values from VASP.

Quantum ESPRESSO input file:
```
&SYSTEM
  ibrav = 0, nat = 5, ntyp = 4
/
ATOMIC_SPECIES
Al 26.98 Al.upf
Zn 65.41 Zn.upf
Pb 207.20 Pb.upf
Cl 35.45 Cl.upf
ATOMIC_POSITIONS crystal
Al 0.000 0.000 0.000
Zn 0.000 0.500 0.000
Zn 0.500 0.000 0.000
Pb 0.000 0.000 0.500
Cl 0.500 0.500 0.500
CELL_PARAMETERS angstrom
4.867 0.000 0.000
0.000 4.867 0.000
0.000 0.000 5.776
```

Below is CdHg2W after structural relaxation, with properties calculated at the PBE level. Values from VASP.

Quantum ESPRESSO input file:
```
&SYSTEM
  ibrav = 0, nat = 12, ntyp = 3
/
ATOMIC_SPECIES
Cd 112.41 Cd.upf
Hg 200.59 Hg.upf
W 183.84 W.upf
ATOMIC_POSITIONS crystal
Cd 0.000 0.000 0.000
Cd 0.333 0.667 0.667
Cd 0.667 0.333 0.333
Hg 0.000 0.000 0.513
Hg 0.000 0.000 0.755
Hg 0.333 0.667 0.180
Hg 0.333 0.667 0.422
Hg 0.667 0.333 0.088
Hg 0.667 0.333 0.847
W 0.000 0.000 0.257
W 0.333 0.667 0.923
W 0.667 0.333 0.590
CELL_PARAMETERS angstrom
3.025 0.000 0.000
-1.512 2.619 0.000
0.000 0.000 30.974
```

Below is TlIrW3 after structural relaxation, with properties calculated at the PBE level. Values from VASP.

Quantum ESPRESSO input file:
```
&SYSTEM
  ibrav = 0, nat = 5, ntyp = 3
/
ATOMIC_SPECIES
Tl 204.38 Tl.upf
Ir 192.22 Ir.upf
W 183.84 W.upf
ATOMIC_POSITIONS crystal
Tl 0.000 0.000 0.000
Ir 0.500 0.500 0.500
W 0.000 0.500 0.500
W 0.500 0.000 0.500
W 0.500 0.500 0.000
CELL_PARAMETERS angstrom
4.804 0.000 0.000
0.000 4.804 0.000
0.000 0.000 4.804
```

**Distance to the lowest polymorph of the same formula**: 0 meV per atom

| no. | DFT total energy (eV per cell) | calculated volume (Å³/cell) | total magnetization (μB/f.u.) |
| --- | --- | --- | --- |
| 1 | -66.0 | 200.09 | 0.000 |
| 2 | -98.8 | 210.27 | 0.001 |
| 3 | -10.4 | 116.87 | 0.084 |
| 4 | -11.4 | 136.81 | 0.000 |
| 5 | -36.8 | 245.42 | 0.000 |
| 6 | -40.6 | 110.88 | 0.003 |